(1)
Density functional theory data (PBEsol) for an optimized crystal structure of LiFeAsSe2.

Geometry as extended XYZ:
```
5
Lattice="4.876 0.000 0.000 0.000 4.876 0.000 0.000 0.000 4.373" Properties=species:S:1:pos:R:3 pbc="T T T"
Li 0.000 0.000 0.000
Fe 2.438 2.438 2.187
As 2.438 2.438 0.000
Se 0.000 2.438 2.187
Se 2.438 0.000 2.187
```

Output
Symmetry: P4/mmm, No. 123
Energy, eV per atom: -4.7249
ΔE_f (raw), eV/f.u.: 0.112

---

(2)
Density functional theory data (PBEsol) for an optimized crystal structure of HfSn2HOs.

Geometry as extended XYZ:
```
5
Lattice="5.331 0.000 0.000 0.000 5.331 0.000 0.000 0.000 3.383" Properties=species:S:1:pos:R:3 pbc="T T T"
Hf 0.000 0.000 0.000
Sn 0.000 2.665 0.000
Sn 2.665 0.000 0.000
H 0.000 0.000 1.691
Os 2.665 2.665 1.691
```

Output
Symmetry: P4/mmm, No. 123
Energy, eV per atom: -5.8968

---

(3)
Density functional theory data (PBEsol) for an optimized crystal structure of GaAsSe2Cl.

Geometry as extended XYZ:
```
5
Lattice="4.924 0.000 0.000 0.000 4.924 0.000 0.000 0.000 4.892" Properties=species:S:1:pos:R:3 pbc="T T T"
Ga 0.000 0.000 0.000
As 2.462 2.462 0.000
Se 0.000 2.462 2.446
Se 2.462 0.000 2.446
Cl 2.462 2.462 2.446
```

Output
Symmetry: P4/mmm, No. 123
Energy, eV per atom: -2.8497
Energy relative to the lowest polymorph listed for this composition, meV per atom: 296
ΔE_f (raw), eV/f.u.: 3.906

---

(4)
Density functional theory data (PBEsol) for an optimized crystal structure of TlReP2.

Geometry as extended XYZ:
```
8
Lattice="4.771 0.000 0.000 0.000 4.771 0.000 0.000 0.000 5.610" Properties=species:S:1:pos:R:3 pbc="T T T"
Tl 0.000 0.000 0.000
Tl 2.385 2.385 2.805
Re 0.000 0.000 2.805
Re 2.385 2.385 0.000
P 0.000 2.385 1.403
P 0.000 2.385 4.208
P 2.385 0.000 1.403
P 2.385 0.000 4.208
```

Output
Symmetry: I4/mmm, No. 139
Energy relative to the elements, meV/atom: 700.9
Energy, eV per atom: -6.1854
Energy relative to the lowest polymorph listed for this composition, meV per atom: 459

---

(5)
Density functional theory data (PBEsol) for an optimized crystal structure of RbCuBi2.

Geometry as extended XYZ:
```
16
Lattice="7.562 0.000 0.000 0.000 7.562 0.000 0.000 0.000 7.562" Properties=species:S:1:pos:R:3 pbc="T T T"
Rb 0.000 0.000 0.000
Rb 0.000 3.781 3.781
Rb 3.781 0.000 3.781
Rb 3.781 3.781 0.000
Cu 0.000 0.000 3.781
Cu 0.000 3.781 0.000
Cu 3.781 0.000 0.000
Cu 3.781 3.781 3.781
Bi 1.890 1.890 1.890
Bi 1.890 1.890 5.671
Bi 1.890 5.671 1.890
Bi 1.890 5.671 5.671
Bi 5.671 1.890 1.890
Bi 5.671 1.890 5.671
Bi 5.671 5.671 1.890
Bi 5.671 5.671 5.671
```

Output
Symmetry: Fm-3m, No. 225
Energy relative to the elements, meV/atom: 362.6
Energy, eV per atom: -3.1200

---

(6)
Density functional theory data (PBEsol) for an optimized crystal structure of Be3Au.

Geometry as extended XYZ:
```
4
Lattice="3.471 0.000 0.000 0.000 3.471 0.000 0.000 0.000 3.471" Properties=species:S:1:pos:R:3 pbc="T T T"
Be 0.000 0.000 1.735
Be 0.000 1.735 0.000
Be 1.735 0.000 0.000
Au 1.735 1.735 1.735
```

Output
Symmetry: Pm-3m, No. 221
Energy relative to the elements, meV/atom: -75.6
Energy, eV per atom: -4.0566

---

(7)
Density functional theory data (PBEsol) for an optimized crystal structure of LaRuPt2.

Geometry as extended XYZ:
```
8
Lattice="4.099 0.000 0.000 0.000 4.110 0.000 0.000 0.000 8.402" Properties=species:S:1:pos:R:3 pbc="T T T"
La 0.000 0.000 0.000
La 2.050 2.055 4.201
Ru 0.000 0.000 4.201
Ru 2.050 2.055 0.000
Pt 0.000 2.055 2.097
Pt 0.000 2.055 6.305
Pt 2.050 0.000 2.104
Pt 2.050 0.000 6.298
```

Output
Symmetry: Immm, No. 71
Energy relative to the elements, meV/atom: -223.6
Energy, eV per atom: -7.5851

---

(8)
Density functional theory data (PBEsol) for an optimized crystal structure of Sm2Al3Ge4.

Geometry as extended XYZ:
```
18
Lattice="2.955 -7.385 0.000 2.955 7.385 0.000 0.000 0.000 7.930" Properties=species:S:1:pos:R:3 pbc="T T T"
Sm 2.955 5.691 7.298
Sm 2.955 1.695 3.333
Sm 2.955 -1.695 4.597
Sm 2.955 -5.691 0.632
Al 0.000 0.000 3.965
Al 1.477 3.195 5.947
Al 1.477 -3.195 1.982
Al 2.955 0.000 0.000
Al 4.432 3.195 5.947
Al 4.432 -3.195 1.982
Ge 2.955 4.661 4.380
Ge 1.477 0.675 5.947
Ge 1.477 -0.675 1.982
Ge 2.955 2.724 0.415
Ge 2.955 -2.724 7.514
Ge 4.432 0.675 5.947
Ge 4.432 -0.675 1.982
Ge 2.955 -4.661 3.550
```

Output
Symmetry: Cmce, No. 64
Energy relative to the elements, meV/atom: -507.1
Energy, eV per atom: -5.1977

---

(9)
Density functional theory data (PBEsol) for an optimized crystal structure of Ca3WCl2O5.

Geometry as extended XYZ:
```
44
Lattice="11.778 0.000 0.000 0.000 5.565 0.000 0.000 0.000 11.088" Properties=species:S:1:pos:R:3 pbc="T T T"
Ca 1.640 1.391 1.849
Ca 1.870 4.174 4.656
Ca 1.957 1.391 7.419
Ca 3.932 4.174 1.875
Ca 4.019 1.391 10.200
Ca 4.249 4.174 7.393
Ca 7.530 1.391 3.695
Ca 7.759 4.174 0.888
Ca 7.846 1.391 9.213
Ca 9.822 4.174 3.669
Ca 9.908 1.391 6.432
Ca 10.138 4.174 9.239
W 2.257 4.174 10.153
W 3.632 1.391 4.609
W 8.147 4.174 6.479
W 9.521 1.391 0.935
Cl 0.344 1.391 4.652
Cl 0.399 4.174 2.373
Cl 5.491 1.391 7.917
Cl 5.545 4.174 10.196
Cl 6.234 1.391 0.892
Cl 6.288 4.174 3.171
Cl 11.380 1.391 8.715
Cl 11.434 4.174 6.436
O 0.509 4.174 10.085
O 2.773 2.870 0.370
O 2.773 5.477 0.370
O 2.842 2.899 8.871
O 2.842 5.448 8.871
O 3.047 0.117 3.327
O 3.047 2.666 3.327
O 3.116 0.088 5.914
O 3.116 2.695 5.914
O 5.380 1.391 4.541
O 6.398 4.174 6.546
O 8.663 2.870 5.174
O 8.663 5.477 5.174
O 8.731 2.899 7.761
O 8.731 5.448 7.761
O 8.937 0.117 2.217
O 8.937 2.666 2.217
O 9.005 0.088 10.718
O 9.005 2.695 10.718
O 11.270 1.391 1.002
```

Output
Symmetry: Pnma, No. 62
Energy, eV per atom: -7.2856
ΔE_f (raw), eV/f.u.: -29.672

---

(10)
Density functional theory data (PBEsol) for an optimized crystal structure of RbCdPBr2.

Geometry as extended XYZ:
```
5
Lattice="5.719 0.000 0.000 0.000 5.719 0.000 0.000 0.000 4.995" Properties=species:S:1:pos:R:3 pbc="T T T"
Rb 0.000 0.000 0.000
Cd 2.860 2.860 2.497
P 2.860 2.860 0.000
Br 0.000 2.860 2.497
Br 2.860 0.000 2.497
```

Output
Symmetry: P4/mmm, No. 123
Energy, eV per atom: -2.7783
ΔE_f (raw), eV/f.u.: -2.138

---

(11)
Density functional theory data (PBEsol) for an optimized crystal structure of Li2ReAu.

Geometry as extended XYZ:
```
8
Lattice="3.694 0.000 0.000 0.000 3.766 0.000 0.000 0.000 8.964" Properties=species:S:1:pos:R:3 pbc="T T T"
Li 0.000 0.000 0.000
Li 0.000 1.883 2.705
Li 1.847 0.000 2.705
Li 1.847 1.883 0.000
Re 0.000 0.000 4.772
Re 1.847 1.883 4.772
Au 0.000 1.883 7.001
Au 1.847 0.000 7.001
```

Output
Symmetry: Cmm2, No. 35
Energy relative to the elements, meV/atom: 152.6
Energy, eV per atom: -5.1447
Energy relative to the lowest polymorph listed for this composition, meV per atom: 134

---

(12)
Density functional theory data (PBEsol) for an optimized crystal structure of K2ZrOs.

Geometry as extended XYZ:
```
4
Lattice="3.923 0.000 0.000 0.000 3.923 0.000 0.000 0.000 6.035" Properties=species:S:1:pos:R:3 pbc="T T T"
K 0.000 1.961 0.000
K 1.961 0.000 0.000
Zr 0.000 0.000 3.017
Os 1.961 1.961 3.017
```

Output
Symmetry: P4/mmm, No. 123
Energy relative to the elements, meV/atom: 1005.5
Energy, eV per atom: -4.8876

---

(13)
Density functional theory data (PBEsol) for an optimized crystal structure of CsLiAg2.

Geometry as extended XYZ:
```
16
Lattice="7.875 0.000 0.000 0.000 7.875 0.000 0.000 0.000 7.875" Properties=species:S:1:pos:R:3 pbc="T T T"
Cs 0.000 0.000 0.000
Cs 0.000 3.938 3.938
Cs 3.938 0.000 3.938
Cs 3.938 3.938 0.000
Li 0.000 0.000 3.938
Li 0.000 3.938 0.000
Li 3.938 0.000 0.000
Li 3.938 3.938 3.938
Ag 1.969 1.969 1.969
Ag 1.969 1.969 5.907
Ag 1.969 5.907 1.969
Ag 1.969 5.907 5.907
Ag 5.907 1.969 1.969
Ag 5.907 1.969 5.907
Ag 5.907 5.907 1.969
Ag 5.907 5.907 5.907
```

Output
Symmetry: Fm-3m, No. 225
Energy relative to the elements, meV/atom: 429.3
Energy, eV per atom: -1.9536

---

(14)
Density functional theory data (PBEsol) for an optimized crystal structure of YTa2In.

Geometry as extended XYZ:
```
8
Lattice="4.084 0.000 0.000 0.000 4.185 0.000 0.000 0.000 9.582" Properties=species:S:1:pos:R:3 pbc="T T T"
Y 0.000 0.000 0.000
Y 2.042 2.093 0.000
Ta 0.000 2.093 2.552
Ta 0.000 2.093 7.030
Ta 2.042 0.000 2.552
Ta 2.042 0.000 7.030
In 0.000 0.000 4.791
In 2.042 2.093 4.791
```

Output
Symmetry: Cmmm, No. 65
Energy relative to the elements, meV/atom: 318.8
Energy, eV per atom: -8.4080

---

(15)
Density functional theory data (PBEsol) for an optimized crystal structure of KInTe2.

Geometry as extended XYZ:
```
16
Lattice="8.532 0.000 0.000 0.000 8.532 0.000 0.000 0.000 7.261" Properties=species:S:1:pos:R:3 pbc="T T T"
K 0.000 0.000 1.815
K 0.000 0.000 5.445
K 4.266 4.266 1.815
K 4.266 4.266 5.445
In 0.000 4.266 1.815
In 0.000 4.266 5.445
In 4.266 0.000 1.815
In 4.266 0.000 5.445
Te 1.530 2.737 0.000
Te 1.530 5.796 3.630
Te 2.737 1.530 3.630
Te 2.737 7.003 0.000
Te 5.796 1.530 0.000
Te 5.796 7.003 3.630
Te 7.003 2.737 3.630
Te 7.003 5.796 0.000
```

Output
Symmetry: I4/mcm, No. 140
Energy, eV per atom: -3.4683
ΔE_f (raw), eV/f.u.: -2.705

---

(16)
Density functional theory data (PBEsol) for an optimized crystal structure of YCoPt2.

Geometry as extended XYZ:
```
8
Lattice="4.011 0.000 0.000 0.000 4.011 0.000 0.000 0.000 8.022" Properties=species:S:1:pos:R:3 pbc="T T T"
Y 0.000 0.000 0.000
Y 2.005 2.005 4.011
Co 0.000 0.000 4.011
Co 2.005 2.005 0.000
Pt 0.000 2.005 2.006
Pt 0.000 2.005 6.017
Pt 2.005 0.000 2.006
Pt 2.005 0.000 6.017
```

Output
Symmetry: I4/mmm, No. 139
Energy relative to the elements, meV/atom: -538.7
Energy, eV per atom: -7.6603

---

(17)
Density functional theory data (PBEsol) for an optimized crystal structure of BaTlHg2.

Geometry as extended XYZ:
```
8
Lattice="5.420 0.000 0.000 0.000 5.420 0.000 0.000 0.000 7.727" Properties=species:S:1:pos:R:3 pbc="T T T"
Ba 0.000 0.000 0.000
Ba 2.710 2.710 3.863
Tl 0.000 2.710 1.932
Tl 2.710 0.000 5.795
Hg 0.000 0.000 3.863
Hg 0.000 2.710 5.795
Hg 2.710 0.000 1.932
Hg 2.710 2.710 0.000
```

Output
Symmetry: I-4m2, No. 119
Energy relative to the elements, meV/atom: -360.2
Energy, eV per atom: -1.8384
Energy relative to the lowest polymorph listed for this composition, meV per atom: 74

---

(18)
Density functional theory data (PBEsol) for an optimized crystal structure of Li2NiRu.

Geometry as extended XYZ:
```
4
Lattice="2.476 0.000 0.000 0.000 4.214 0.000 0.000 0.000 4.639" Properties=species:S:1:pos:R:3 pbc="T T T"
Li 0.000 0.000 0.000
Li 1.238 2.107 0.699
Ni 1.238 0.000 2.377
Ru 0.000 2.107 2.954
```

Output
Symmetry: Pmm2, No. 25
Energy relative to the elements, meV/atom: 92.1
Energy, eV per atom: -4.9737
Energy relative to the lowest polymorph listed for this composition, meV per atom: 0

---

(19)
Density functional theory data (PBEsol) for an optimized crystal structure of NdBe13.

Geometry as extended XYZ:
```
28
Lattice="0.000 5.127 5.127 5.127 0.000 5.127 5.127 5.127 0.000" Properties=species:S:1:pos:R:3 pbc="T T T"
Nd 2.563 2.563 2.563
Nd 7.690 7.690 7.690
Be 0.000 0.000 0.000
Be 5.127 3.966 1.804
Be 8.449 5.127 3.966
Be 6.287 1.804 5.127
Be 6.287 5.127 3.323
Be 5.127 3.323 3.966
Be 6.930 3.966 5.127
Be 5.127 6.287 1.804
Be 3.966 1.804 5.127
Be 8.449 5.127 6.287
Be 3.966 5.127 3.323
Be 6.930 6.287 5.127
Be 5.127 3.323 6.287
Be 5.127 5.127 5.127
Be 5.127 6.930 3.966
Be 3.323 3.966 5.127
Be 6.287 5.127 6.930
Be 1.804 5.127 3.966
Be 6.287 8.449 5.127
Be 5.127 3.966 8.449
Be 3.323 6.287 5.127
Be 5.127 6.930 6.287
Be 3.966 5.127 6.930
Be 3.966 8.449 5.127
Be 1.804 5.127 6.287
Be 5.127 6.287 8.449
```

Output
Symmetry: Fm-3c, No. 226
Energy relative to the elements, meV/atom: -159.9
Energy, eV per atom: -4.2432

---

(20)
Density functional theory data (PBEsol) for an optimized crystal structure of Sb5Ru3.

Geometry as extended XYZ:
```
16
Lattice="7.323 0.000 0.000 0.000 9.586 0.000 0.000 0.000 4.435" Properties=species:S:1:pos:R:3 pbc="T T T"
Sb 0.000 0.000 0.000
Sb 1.558 4.793 2.217
Sb 1.831 2.396 0.000
Sb 1.831 7.189 0.000
Sb 2.103 0.000 2.217
Sb 3.661 4.793 0.000
Sb 5.220 0.000 2.217
Sb 5.492 2.396 0.000
Sb 5.492 7.189 0.000
Sb 5.765 4.793 2.217
Ru 0.000 2.628 2.217
Ru 0.000 4.793 0.000
Ru 0.000 6.958 2.217
Ru 3.661 0.000 0.000
Ru 3.661 2.165 2.217
Ru 3.661 7.421 2.217
```

Output
Symmetry: Cmmm, No. 65
Energy, eV per atom: -6.3369
ΔE_f (raw), eV/f.u.: 2.608

---

(21)
Density functional theory data (PBEsol) for an optimized crystal structure of Mg3GeF.

Geometry as extended XYZ:
```
5
Lattice="4.402 0.000 0.000 0.000 4.402 0.000 0.000 0.000 4.402" Properties=species:S:1:pos:R:3 pbc="T T T"
Mg 0.000 0.000 2.201
Mg 0.000 2.201 0.000
Mg 2.201 0.000 0.000
Ge 2.201 2.201 2.201
F 0.000 0.000 0.000
```

Output
Symmetry: Pm-3m, No. 221
Energy, eV per atom: -3.2446
ΔE_f (raw), eV/f.u.: -4.205

---

(22)
Density functional theory data (PBEsol) for an optimized crystal structure of As2RhSe.

Geometry as extended XYZ:
```
12
Lattice="3.560 0.000 0.000 -1.780 3.083 0.000 0.000 0.000 20.131" Properties=species:S:1:pos:R:3 pbc="T T T"
As 0.000 0.000 0.000
As 0.000 0.000 5.211
As 0.000 2.055 13.421
As 0.000 2.055 18.632
As 1.780 1.028 6.710
As 1.780 1.028 11.921
Rh 0.000 0.000 15.184
Rh 0.000 2.055 8.474
Rh 1.780 1.028 1.763
Se 0.000 0.000 9.737
Se 0.000 2.055 3.027
Se 1.780 1.028 16.448
```

Output
Symmetry: R3m, No. 160
Energy, eV per atom: -5.6071
ΔE_f (raw), eV/f.u.: -0.227

---

(23)
Density functional theory data (PBEsol) for an optimized crystal structure of TcIr2Ru.

Geometry as extended XYZ:
```
4
Lattice="2.681 0.000 0.000 0.000 3.831 0.000 0.000 0.000 5.370" Properties=species:S:1:pos:R:3 pbc="T T T"
Tc 0.000 0.000 0.000
Ir 1.340 1.915 1.345
Ir 1.340 1.915 4.026
Ru 0.000 0.000 2.685
```

Output
Symmetry: Pmmm, No. 47
Energy relative to the elements, meV/atom: -116.1
Energy, eV per atom: -10.3875
Energy relative to the lowest polymorph listed for this composition, meV per atom: 4

---

(24)
Density functional theory data (PBEsol) for an optimized crystal structure of CaAs2Cl.

Geometry as extended XYZ:
```
4
Lattice="4.210 0.000 0.000 0.000 4.211 0.000 -0.050 0.000 5.482" Properties=species:S:1:pos:R:3 pbc="T T T"
Ca 0.000 0.000 0.000
As 2.058 2.106 4.344
As 2.103 2.106 1.138
Cl -0.025 0.000 2.741
```

Output
Symmetry: P2/m, No. 10
Energy, eV per atom: -4.2562
Energy relative to the lowest polymorph listed for this composition, meV per atom: 330
ΔE_f (raw), eV/f.u.: -2.671

---

(25)
Density functional theory data (PBEsol) for an optimized crystal structure of LaSm3.

Geometry as extended XYZ:
```
8
Lattice="7.200 0.000 0.000 -3.600 6.235 0.000 0.000 0.000 5.805" Properties=species:S:1:pos:R:3 pbc="T T T"
La 0.000 4.157 1.451
La 3.600 2.078 4.354
Sm 0.000 2.069 4.354
Sm -1.808 5.201 4.354
Sm 1.791 1.034 1.451
Sm 1.809 5.201 4.354
Sm 5.408 1.034 1.451
Sm 3.600 4.167 1.451
```

Output
Symmetry: P6_3/mmc, No. 194
Energy relative to the elements, meV/atom: 34.2
Energy, eV per atom: -5.1216